{"formula": "TiFe2Bi2PbO9", "functional": "PBE+U", "state": "optimized geometry", "cell": [[-4.166, 1.146, -3.560], [3.545, -4.193, -1.096], [-8.267, -8.780, 6.848]], "species": ["Ti", "Ti", "Fe", "Fe", "Fe", "Fe", "Bi", "Bi", "Bi", "Bi", "Pb", "Pb", "O", "O", "O", "O", "O", "O", "O", "O", "O", "O", "O", "O", "O", "O", "O", "O", "O", "O"], "frac_coords": [[0.000, 0.000, 0.144], [0.333, 0.667, 0.810], [0.667, 0.333, 0.488], [0.667, 0.333, 0.989], [0.000, 0.000, 0.652], [0.333, 0.667, 0.314], [0.333, 0.667, 0.537], [0.667, 0.333, 0.704], [0.000, 0.000, 0.372], [0.333, 0.667, 0.035], [0.667, 0.333, 0.224], [0.000, 0.000, 0.894], [0.335, 0.218, 0.075], [0.010, 0.572, 0.417], [0.664, 0.895, 0.744], [0.782, 0.117, 0.075], [0.428, 0.438, 0.417], [0.105, 0.770, 0.744], [0.883, 0.665, 0.075], [0.562, 0.990, 0.417], [0.230, 0.336, 0.744], [0.200, 0.887, 0.247], [0.890, 0.243, 0.582], [0.539, 0.553, 0.917], [0.113, 0.314, 0.247], [0.757, 0.647, 0.582], [0.447, 0.986, 0.917], [0.686, 0.800, 0.247], [0.353, 0.110, 0.582], [0.014, 0.461, 0.917]], "m_tot_mub_per_atom": 0.337, "total_energy_ev_per_cell": -196.49, "vol_a3_per_atom": 12.55, "de_polymorph_mev_per_atom": 127}